Entry 1:
VASP calculation (GGA-PBE) on an optimized crystal structure of Li2TmGa2Pt2.

Cell: 4.387 4.414 7.514 Å, 105.99 90.00 119.80°
Fractional coordinates of all 7 atoms:
Pt  0.259  0.518  0.763
Li  0.414  0.827  0.250
Pt  0.741  0.482  0.237
Ga  0.134  0.268  0.408
Tm  0.000  0.000  0.000
Li  0.586  0.173  0.750
Ga  0.866  0.732  0.592

Output
Crystal system: monoclinic
Formation enthalpy at 0 K: -468 kJ/mol of formula units
Fermi-level density of states: 2.9 states/eV/cell


Entry 2:
VASP calculation (GGA-PBE) on an optimized crystal structure of CsNa2TlF.

Cell: 5.155 5.155 5.914 Å, 90.00 90.00 90.00°
Fractional coordinates of all 5 atoms:
Na  0.000  0.500  0.000
Na  0.500  0.000  0.000
Tl  0.500  0.500  0.500
Cs  0.000  0.000  0.500
F  0.000  0.000  0.000

Output
DFT total energy: -0.0907 hartree per atom
Crystal system: tetragonal
Fermi-level density of states: 1.5 states/eV/cell


Entry 3:
VASP calculation (GGA-PBE) on an optimized crystal structure of Ce6NdOs4.

Cell: 7.363 7.363 7.363 Å, 89.94 120.03 120.03°
Fractional coordinates of all 11 atoms:
Ce  0.000  0.540  0.878
Ce  0.000  0.878  0.540
Ce  0.500  0.000  0.500
Os  0.000  0.238  0.628
Ce  0.338  0.460  0.460
Nd  0.000  0.000  0.000
Ce  0.500  0.500  0.000
Ce  0.662  0.122  0.122
Os  0.391  0.762  0.762
Os  0.609  0.372  0.372
Os  0.000  0.628  0.238

Output
Crystal system: tetragonal
Formation enthalpy at 0 K: -67 kJ/mol of formula units
Fermi-level density of states: 17.7 states/eV/cell


Entry 4:
VASP calculation (GGA-PBE) on an optimized crystal structure of Cu2P.

Cell: 3.735 6.603 6.843 Å, 90.00 90.00 90.00°
Fractional coordinates of all 12 atoms:
Cu  0.750  0.400  0.896
Cu  0.250  0.600  0.104
Cu  0.250  0.100  0.396
Cu  0.250  0.149  0.763
P  0.750  0.763  0.916
Cu  0.750  0.851  0.237
P  0.750  0.263  0.584
Cu  0.750  0.351  0.263
Cu  0.750  0.900  0.604
P  0.250  0.237  0.084
P  0.250  0.737  0.416
Cu  0.250  0.649  0.737

Output
Crystal system: orthorhombic
Formation enthalpy at 0 K: 1 kJ/mol of formula units
Fermi-level density of states: 6.9 states/eV/cell